# Sr3MnRh PBE optimized geometry
# * final energy: -3.544 eV/atom
# * formation energy: 0.77 eV per atom
# * space group: Pm-3m
# * excess energy over the best structure of this formula in the dataset: 0.000 eV/atom
# * density: 3.8 g/cm³
data_Sr3MnRh
_chemical_formula_sum 'Sr3 Mn1 Rh1'
_cell_length_a 5.689
_cell_length_b 5.689
_cell_length_c 5.689
_cell_angle_alpha 90.00
_cell_angle_beta 90.00
_cell_angle_gamma 90.00
_symmetry_space_group_name_H-M 'P 1'
_symmetry_Int_Tables_number 1
loop_
_symmetry_equiv_pos_as_xyz
'x,y,z'
loop_
_atom_site_label
_atom_site_type_symbol
_atom_site_fract_x
_atom_site_fract_y
_atom_site_fract_z
Sr1 Sr 0.000 0.000 0.500
Sr2 Sr 0.000 0.500 0.000
Sr3 Sr 0.500 0.000 0.000
Mn1 Mn 0.500 0.500 0.500
Rh1 Rh 0.000 0.000 0.000